# TaNiNF2 GGA+U optimized geometry
# Mass density: 7.16 g/cm³
# Relative energy among the computed polymorphs: 0 meV per atom
# Space-group type: P4/mmm
data_TaNiNF2
_space_group_name_H-M_alt 'P 1'
_space_group_IT_number 1
_space_group_name_Hall 'P 1'
_cell_length_a 4.0949
_cell_length_b 4.0949
_cell_length_c 4.0350
_cell_angle_alpha 90.00
_cell_angle_beta 90.00
_cell_angle_gamma 90.00
loop_
_atom_site_label
_atom_site_type_symbol
_atom_site_fract_x
_atom_site_fract_y
_atom_site_fract_z
Ni1 Ni 0.5000 0.5000 0.5000
N1 N 0.0000 0.0000 0.5000
F1 F 0.0000 0.5000 0.0000
F2 F 0.5000 0.0000 0.0000
Ta1 Ta 0.0000 0.0000 0.0000